A plane-wave DFT calculation with PBEsol was carried out for a relaxed RbAlGaMo2 crystal.

Unit cell a=4.759 b=4.967 c=4.967 alpha=90.00 beta=90.00 gamma=90.00
Last column: magnetic moment on the atom in μB.
Sites, in units of the cell vectors:
Mo1 0.000 0.500 0.000  2.22
Mo2 0.000 0.000 0.500  2.22
Rb1 0.500 0.500 0.500  0.05
Al1 0.500 0.000 0.000  -0.07
Ga1 0.000 0.000 0.000  -0.01

Crystal system: tetragonal
Formation energy from the elements: 1608 meV/atom
Calculated volume: 23.5 Å³/atom